# Zr2AlTe2, PBEsol geometry, DFT SCAN
# Fermi-level density of states	8.725	states/eV/cell
# ΔE_f (raw)	0.5	eV per formula unit
# VASP energy	-28.64	eV per atom
data_Zr2AlTe2
_cell_length_a 4.9916
_cell_length_b 4.9916
_cell_length_c 11.2568
_cell_angle_alpha 90.00
_cell_angle_beta 90.00
_cell_angle_gamma 90.00
_space_group_name_H-M_alt 'I 4/m m m'
_space_group_IT_number 139
_space_group_name_Hall '-I 4 2'
loop_
_atom_site_label
_atom_site_type_symbol
_atom_site_fract_x
_atom_site_fract_y
_atom_site_fract_z
Zr1 Zr 0.0000 0.0000 0.1264
Al1 Al 0.0000 0.0000 0.5000
Te1 Te 0.0000 0.5000 0.2500